--- 1 ---
A geometry-optimized Ca3BiTe4 structure. Source: Alexandria, functional PBE.

abc: 6.504 6.504 12.719
angles: 90.00 90.00 90.00
Space group I4/mmm (No. 139)
One atom of each set of equivalent atoms:
Ca1 0.000 0.000 0.000 [2 per cell]
Ca2 0.000 0.500 0.250 [4 per cell]
Bi1 0.000 0.000 0.500 [2 per cell]
Te1 0.000 0.000 0.251 [4 per cell]
Te2 0.000 0.500 0.000 [4 per cell]

***

--- 2 ---
A geometry-optimized Ca3BiTe4 structure. Source: Alexandria, functional PBE.

abc: 6.579 10.671 9.408
angles: 90.00 90.00 90.00
Space group Pmmn (No. 59, origin choice 2)
One atom of each set of equivalent atoms:
Ca1 0.250 0.003 0.169 [4 per cell]
Ca2 0.250 0.750 0.651 [2 per cell]
Bi1 0.250 0.250 0.683 [2 per cell]
Te1 0.250 0.250 0.347 [2 per cell]
Te2 0.250 0.508 0.837 [4 per cell]
Te3 0.250 0.750 0.324 [2 per cell]

***

Least stable structure: 2

***

--- 1 ---
A geometry-optimized Ca3BiTe structure. Source: Alexandria, functional PBE.

abc: 5.812 5.812 5.812
angles: 90.00 90.00 90.00
Space group Pm-3m (No. 221)
One atom of each set of equivalent atoms:
Ca1 0.000 0.000 0.500 [3 per cell]
Bi1 0.500 0.500 0.500 [1 per cell]
Te1 0.000 0.000 0.000 [1 per cell]

***

--- 2 ---
A geometry-optimized Ca3BiTe structure. Source: Alexandria, functional PBE.

abc: 13.589 11.439 8.661
angles: 90.00 90.02 90.00
Space group C2/c (No. 15)
One atom of each set of equivalent atoms:
Ca1 0.100 0.099 0.415 [8 per cell]
Ca2 0.100 0.400 0.586 [8 per cell]
Ca3 0.250 0.173 0.781 [8 per cell]
Bi1 0.000 0.150 0.750 [4 per cell]
Bi2 0.000 0.349 0.250 [4 per cell]
Te1 0.249 0.432 0.883 [8 per cell]

***

Least stable structure: 1

***

--- 1 ---
A geometry-optimized CaBi3Te structure. Source: Alexandria, functional PBE.

abc: 5.889 5.889 5.889
angles: 90.00 90.00 90.00
Space group Pm-3m (No. 221)
One atom of each set of equivalent atoms:
Ca1 0.000 0.000 0.000 [1 per cell]
Bi1 0.000 0.500 0.500 [3 per cell]
Te1 0.500 0.500 0.500 [1 per cell]

***

--- 2 ---
A geometry-optimized CaBi3Te structure. Source: Alexandria, functional PBE.

abc: 5.842 5.842 5.842
angles: 90.00 90.00 90.00
Space group Pm-3m (No. 221)
One atom of each set of equivalent atoms:
Ca1 0.000 0.000 0.000 [1 per cell]
Bi1 0.000 0.000 0.500 [3 per cell]
Te1 0.500 0.500 0.500 [1 per cell]

***

Least stable structure: 2

***

--- 1 ---
A geometry-optimized Ca2Bi2Te structure. Source: Alexandria, functional PBE.

abc: 6.228 6.228 9.345
angles: 90.00 90.00 90.00
Space group I4/mmm (No. 139)
One atom of each set of equivalent atoms:
Ca1 0.000 0.500 0.250 [4 per cell]
Bi1 0.000 0.000 0.163 [4 per cell]
Te1 0.000 0.000 0.500 [2 per cell]

***

--- 2 ---
A geometry-optimized Ca2Bi2Te structure. Source: Alexandria, functional PBE.

abc: 8.316 8.316 4.879
angles: 90.00 90.00 90.00
Space group P4/mbm (No. 127)
One atom of each set of equivalent atoms:
Ca1 0.171 0.329 0.000 [4 per cell]
Bi1 0.125 0.625 0.500 [4 per cell]
Te1 0.000 0.000 0.000 [2 per cell]

***

--- 3 ---
A geometry-optimized Ca2Bi2Te structure. Source: Alexandria, functional PBE.

abc: 8.604 8.604 4.487
angles: 90.00 90.00 90.00
Space group P4/mbm (No. 127)
One atom of each set of equivalent atoms:
Ca1 0.175 0.325 0.000 [4 per cell]
Bi1 0.127 0.627 0.500 [4 per cell]
Te1 0.000 0.000 0.500 [2 per cell]

***

Least stable structure: 1

***

--- 1 ---
A geometry-optimized CaTi3Bi structure. Source: Alexandria, functional PBE.

abc: 5.241 5.241 5.241
angles: 90.00 90.00 90.00
Space group Pm-3m (No. 221)
One atom of each set of equivalent atoms:
Ca1 0.000 0.000 0.000 [1 per cell]
Ti1 0.000 0.500 0.500 [3 per cell]
Bi1 0.500 0.500 0.500 [1 per cell]

***

--- 2 ---
A geometry-optimized CaTi3Bi structure. Source: Alexandria, functional PBE.

abc: 4.861 4.861 4.861
angles: 90.00 90.00 90.00
Space group Pm-3m (No. 221)
One atom of each set of equivalent atoms:
Ca1 0.000 0.000 0.000 [1 per cell]
Ti1 0.000 0.000 0.500 [3 per cell]
Bi1 0.500 0.500 0.500 [1 per cell]

***

Least stable structure: 2

***

--- 1 ---
A geometry-optimized CaTi2Bi2 structure. Source: Alexandria, functional PBE.

abc: 4.238 4.238 14.460
angles: 90.00 90.00 90.00
Space group I4/mmm (No. 139)
One atom of each set of equivalent atoms:
Ca1 0.000 0.000 0.000 [2 per cell]
Ti1 0.000 0.500 0.250 [4 per cell]
Bi1 0.000 0.000 0.383 [4 per cell]

***

--- 2 ---
A geometry-optimized CaTi2Bi2 structure. Source: Alexandria, functional PBE.

abc: 8.207 8.207 3.655
angles: 90.00 90.00 90.00
Space group P4/mbm (No. 127)
One atom of each set of equivalent atoms:
Ca1 0.000 0.000 0.000 [2 per cell]
Ti1 0.110 0.390 0.000 [4 per cell]
Bi1 0.174 0.674 0.500 [4 per cell]

***

--- 3 ---
A geometry-optimized CaTi2Bi2 structure. Source: Alexandria, functional PBE.

abc: 8.162 8.162 3.716
angles: 90.00 90.00 90.00
Space group P4/mbm (No. 127)
One atom of each set of equivalent atoms:
Ca1 0.000 0.000 0.000 [2 per cell]
Ti1 0.128 0.372 0.500 [4 per cell]
Bi1 0.154 0.654 0.000 [4 per cell]

***

Least stable structure: 2

***

--- 1 ---
A geometry-optimized CaTlBi2 structure. Source: Alexandria, functional PBE.

abc: 8.000 8.000 8.000
angles: 90.00 90.00 90.00
Space group Fm-3m (No. 225)
One atom of each set of equivalent atoms:
Ca1 0.000 0.000 0.000 [4 per cell]
Tl1 0.000 0.000 0.500 [4 per cell]
Bi1 0.250 0.250 0.250 [8 per cell]

***

--- 2 ---
A geometry-optimized CaTlBi2 structure. Source: Alexandria, functional PBE.

abc: 4.981 4.981 4.958
angles: 90.00 90.00 90.00
Space group P4/mmm (No. 123)
One atom of each set of equivalent atoms:
Ca1 0.000 0.000 0.000 [1 per cell]
Tl1 0.500 0.500 0.000 [1 per cell]
Bi1 0.000 0.500 0.500 [2 per cell]

***

Least stable structure: 1

***

--- 1 ---
A geometry-optimized CaTlBi2 structure. Source: Alexandria, functional PBE.

abc: 8.930 8.930 6.672
angles: 90.00 90.00 90.00
Space group I-42d (No. 122)
One atom of each set of equivalent atoms:
Ca1 0.000 0.000 0.000 [4 per cell]
Tl1 0.000 0.000 0.500 [4 per cell]
Bi1 0.240 0.250 0.625 [8 per cell]

***

--- 2 ---
A geometry-optimized CaTlBi2 structure. Source: Alexandria, functional PBE.

abc: 5.3925 5.3925 17.0951
angles: 90.00 90.00 120.00
Space group R3m (No. 160, hexagonal axes)
One atom of each set of equivalent atoms:
Ca1 0.0000 0.0000 0.0000 [3 per cell]
Tl1 0.0000 0.0000 0.1922 [3 per cell]
Bi1 0.0000 0.0000 0.4280 [3 per cell]
Bi2 0.0000 0.0000 0.6095 [3 per cell]

***

Least stable structure: 1

***

--- 1 ---
A geometry-optimized CaTlBi2 structure. Source: Alexandria, functional PBE.

abc: 4.367 4.367 6.790
angles: 90.00 90.00 90.00
Space group P4/mmm (No. 123)
One atom of each set of equivalent atoms:
Ca1 0.000 0.000 0.000 [1 per cell]
Tl1 0.000 0.000 0.500 [1 per cell]
Bi1 0.500 0.500 0.226 [2 per cell]

***

--- 2 ---
A geometry-optimized CaTlBi2 structure. Source: Alexandria, functional PBE.

abc: 4.939 4.939 10.146
angles: 90.00 90.00 90.00
Space group I4/mmm (No. 139)
One atom of each set of equivalent atoms:
Ca1 0.000 0.000 0.000 [2 per cell]
Tl1 0.000 0.000 0.500 [2 per cell]
Bi1 0.000 0.500 0.250 [4 per cell]

***

Least stable structure: 1

***

--- 1 ---
A geometry-optimized Ca2TlBi structure. Source: Alexandria, functional PBE.

abc: 7.897 7.897 7.897
angles: 90.00 90.00 90.00
Space group Fm-3m (No. 225)
One atom of each set of equivalent atoms:
Ca1 0.250 0.250 0.250 [8 per cell]
Tl1 0.000 0.000 0.000 [4 per cell]
Bi1 0.000 0.000 0.500 [4 per cell]

***

--- 2 ---
A geometry-optimized Ca2TlBi structure. Source: Alexandria, functional PBE.

abc: 8.613 8.613 7.364
angles: 90.00 90.00 90.00
Space group I-42d (No. 122)
One atom of each set of equivalent atoms:
Ca1 0.243 0.250 0.125 [8 per cell]
Tl1 0.000 0.000 0.500 [4 per cell]
Bi1 0.000 0.000 0.000 [4 per cell]

***

Least stable structure: 2

***

--- 1 ---
A geometry-optimized CaTlBi structure. Source: Alexandria, functional PBE.

abc: 7.772 7.772 7.772
angles: 90.00 90.00 90.00
Space group F-43m (No. 216)
One atom of each set of equivalent atoms:
Ca1 0.000 0.000 0.000 [4 per cell]
Tl1 0.000 0.000 0.500 [4 per cell]
Bi1 0.250 0.250 0.250 [4 per cell]

***

--- 2 ---
A geometry-optimized CaTlBi structure. Source: Alexandria, functional PBE.

abc: 3.629 5.647 9.306
angles: 90.00 99.94 90.00
Space group P2_1/m (No. 11)
One atom of each set of equivalent atoms:
Ca1 0.072 0.250 0.153 [2 per cell]
Tl1 0.252 0.750 0.508 [2 per cell]
Bi1 0.426 0.250 0.823 [2 per cell]

***

Least stable structure: 1

***

--- 1 ---
A geometry-optimized CaTlBi structure. Source: Alexandria, functional PBE.

abc: 4.481 4.481 9.666
angles: 90.00 90.00 90.00
Space group I4mm (No. 107)
One atom of each set of equivalent atoms:
Ca1 0.000 0.000 0.000 [2 per cell]
Tl1 0.000 0.000 0.678 [2 per cell]
Bi1 0.000 0.000 0.348 [2 per cell]

***

--- 2 ---
A geometry-optimized CaTlBi structure. Source: Alexandria, functional PBE.

abc: 4.8449 4.8449 4.8992
angles: 90.00 90.00 120.00
Space group P3m1 (No. 156)
One atom of each set of equivalent atoms:
Ca1 0.0000 0.0000 0.0000 [1 per cell]
Tl1 0.6667 0.3333 0.3543 [1 per cell]
Bi1 0.3333 0.6667 0.6613 [1 per cell]

***

Least stable structure: 1